No. 1
## PuThBiI (PBE)

Data for crystalline PuThBiI at its relaxed geometry.

Output
* ρ: 11.4 g cm⁻³
* formation energy without anion corrections: -0.49 eV per atom
* D(E_F): 10.4 states/eV/cell

a b c (Å): 5.5174 5.5174 5.5174
angles (deg): 60.00 60.00 60.00
With the nearest neighbours (Å) after each atom.
Fractional positions:
I (0.0000, 0.0000, 0.0000)  4 Th 3.38, 4 Pu 3.38
Bi (0.5000, 0.5000, 0.5000)  4 Pu 3.38, 4 Th 3.38
Th (0.2500, 0.2500, 0.2500)  4 Bi 3.38, 4 I 3.38
Pu (0.7500, 0.7500, 0.7500)  4 I 3.38, 4 Bi 3.38



No. 2
## Cu2TePdS (PBE)

Data for crystalline Cu2TePdS at its relaxed geometry.

Output
* ρ: 5.6 g cm⁻³
* formation energy without anion corrections: 0.70 eV per atom
* D(E_F): 4.4 states/eV/cell

a b c (Å): 4.7693 5.1378 4.7693
angles (deg): 90.00 90.00 90.00
With the nearest neighbours (Å) after each atom.
Fractional positions:
S (0.5000, 0.5000, 0.5000)  4 Pd 3.37, 8 Cu 3.51
Te (0.0000, 0.0000, 0.0000)  4 Cu 2.38, 2 Pd 2.57
Cu (0.0000, 0.0000, 0.5000)  2 Te 2.38
Cu (0.5000, 0.0000, 0.0000)  2 Te 2.38
Pd (0.0000, 0.5000, 0.0000)  2 Te 2.57



No. 3
## YBe3 (PBE)

Data for crystalline YBe3 at its relaxed geometry.

Output
* DFT formation energy: 0.68 eV per atom
* ρ: 3.2 g cm⁻³
* ΔE to the lowest computed polymorph: 753 meV/atom
* D(E_F): 6.6 states/eV/cell

a b c (Å): 4.9530 4.9530 4.9530
angles (deg): 90.00 90.00 90.00
With the nearest neighbours (Å) after each atom.
Fractional positions:
Y (0.0000, 0.0000, 0.0000)  12 Be 2.77
Y (0.5000, 0.5000, 0.5000)  12 Be 2.77
Be (0.7500, 0.5000, 0.0000)  2 Be 2.48, 4 Y 2.77
Be (0.2500, 0.5000, 0.0000)  2 Be 2.48, 4 Y 2.77
Be (0.0000, 0.7500, 0.5000)  2 Be 2.48, 4 Y 2.77
Be (0.0000, 0.2500, 0.5000)  2 Be 2.48, 4 Y 2.77
Be (0.5000, 0.0000, 0.2500)  2 Be 2.48, 4 Y 2.77
Be (0.5000, 0.0000, 0.7500)  2 Be 2.48, 4 Y 2.77



No. 4
## Hf2Zr2P3 (PBE)

Data for crystalline Hf2Zr2P3 at its relaxed geometry.

Output
* DFT formation energy: -1.09 eV per atom
* ρ: 7.6 g cm⁻³
* D(E_F): 3.8 states/eV/cell

a b c (Å): 3.6875 6.3042 6.3095
angles (deg): 100.25 89.99 107.00
With the nearest neighbours (Å) after each atom.
Fractional positions:
Hf (0.8730, 0.7470, 0.6262)  4 P 2.54-2.56
Hf (0.1270, 0.2530, 0.3738)  4 P 2.54-2.56
Zr (0.6253, 0.2511, 0.8742)  5 P 2.56-2.63
Zr (0.3747, 0.7489, 0.1258)  5 P 2.56-2.63
P (0.0000, 0.0000, 0.0000)  2 Hf 2.56, 4 Zr 2.60
P (0.7463, 0.4925, 0.2538)  3 Hf 2.54-2.56, 3 Zr 2.56-2.63
P (0.2537, 0.5075, 0.7462)  3 Hf 2.54-2.56, 3 Zr 2.56-2.63



No. 5
## AgPb2BrCl4 (PBE)

Data for crystalline AgPb2BrCl4 at its relaxed geometry.

Output
* ρ: 5.2 g cm⁻³
* formation energy without anion corrections: -0.92 eV per atom
* D(E_F): 0.0 states/eV/cell

a b c (Å): 4.1305 7.0163 9.0054
angles (deg): 74.13 76.74 72.88
With the nearest neighbours (Å) after each atom.
Fractional positions:
Ag (0.0000, 0.0000, 0.0000)  2 Cl 2.58
Pb (0.8200, 0.6121, 0.7478)  5 Cl 2.90-3.05, 2 Br 3.20
Pb (0.1800, 0.3879, 0.2522)  5 Cl 2.90-3.05, 2 Br 3.20
Br (0.5000, 0.5000, 0.5000)  4 Pb 3.20
Cl (0.1774, 0.9202, 0.7249)  1 Ag 2.58
Cl (0.3761, 0.3181, 0.9297)  2 Ag 2.93, 3 Pb 2.97-3.05
Cl (0.8226, 0.0798, 0.2751)  1 Ag 2.58
Cl (0.6239, 0.6819, 0.0703)  2 Ag 2.93, 3 Pb 2.97-3.05



No. 6
## HoTl2Hg2Te4 (PBE)

Data for crystalline HoTl2Hg2Te4 at its relaxed geometry.

Output
* ρ: 8.3 g cm⁻³
* formation energy without anion corrections: -0.47 eV per atom
* D(E_F): 3.9 states/eV/cell

a b c (Å): 4.4264 8.7832 8.7885
angles (deg): 114.54 90.00 104.59
With the nearest neighbours (Å) after each atom.
Fractional positions:
Ho (0.0000, 0.0000, 0.0000)  6 Te 3.11-3.12
Tl (0.8771, 0.7542, 0.4373)  7 Te 3.42-3.77, 1 Hg 3.61
Tl (0.1229, 0.2458, 0.5627)  7 Te 3.42-3.77, 1 Hg 3.61
Hg (0.3058, 0.6117, 0.9730)  3 Te 2.90-2.98, 2 Hg 3.08
Hg (0.6942, 0.3883, 0.0270)  3 Te 2.90-2.98, 2 Hg 3.08
Te (0.8040, 0.6079, 0.7444)  2 Hg 2.98, 1 Ho 3.12
Te (0.1960, 0.3921, 0.2556)  2 Hg 2.98, 1 Ho 3.12
Te (0.4833, 0.9667, 0.2323)  1 Hg 2.90, 2 Ho 3.11
Te (0.5167, 0.0333, 0.7677)  1 Hg 2.90, 2 Ho 3.11



No. 7
## GeTe2IN (PBE)

Data for crystalline GeTe2IN at its relaxed geometry.

Output
* ρ: 5.5 g cm⁻³
* ΔE to the lowest computed polymorph: 523 meV/atom
* formation energy without anion corrections: 1.25 eV per atom
* D(E_F): 2.7 states/eV/cell

a b c (Å): 5.9753 5.9753 3.9515
angles (deg): 90.00 90.00 90.00
With the nearest neighbours (Å) after each atom.
Fractional positions:
I (0.0000, 0.0000, 0.0000)  2 N 1.98
Ge (0.5000, 0.5000, 0.5000)  8 Te 3.58, 2 Ge 3.95
Te (0.0000, 0.5000, 0.0000)  2 I 2.99
Te (0.5000, 0.0000, 0.0000)  2 I 2.99
N (0.0000, 0.0000, 0.5000)  2 I 1.98



No. 8
## Na2TbUS4 (PBE)

Data for crystalline Na2TbUS4 at its relaxed geometry.

Output
* ρ: 5.1 g cm⁻³
* formation energy without anion corrections: -1.58 eV per atom
* D(E_F): 5.8 states/eV/cell

a b c (Å): 3.9877 6.9117 7.0991
angles (deg): 108.91 90.00 90.00
With the nearest neighbours (Å) after each atom.
Fractional positions:
Na (0.5000, 0.0000, 0.5000)  6 S 2.93-2.94
Na (0.0000, 0.5000, 0.5000)  6 S 2.93
Tb (0.0000, 0.0000, 0.0000)  6 S 2.77
U (0.5000, 0.5000, 0.0000)  6 S 2.77
S (0.5000, 0.2438, 0.2297)  1 U 2.77, 2 Tb 2.77, 3 Na 2.93-2.94
S (0.5000, 0.7562, 0.7703)  1 U 2.77, 2 Tb 2.77, 3 Na 2.93-2.94
S (0.0000, 0.2572, 0.7703)  2 U 2.77, 1 Tb 2.77, 3 Na 2.93
S (0.0000, 0.7428, 0.2297)  2 U 2.77, 1 Tb 2.77, 3 Na 2.93



No. 9
## Cr2TcBr (PBE)

Data for crystalline Cr2TcBr at its relaxed geometry.

Output
* ρ: 6.9 g cm⁻³
* ΔE to the lowest computed polymorph: 105 meV/atom
* formation energy without anion corrections: 0.60 eV per atom
* D(E_F): 2.8 states/eV/cell

a b c (Å): 3.1671 3.5352 6.4749
angles (deg): 68.96 90.00 90.00
With the nearest neighbours (Å) after each atom.
Fractional positions:
Br (0.5000, 0.7500, 0.7500)  4 Cr 2.83, 2 Tc 3.08, 2 Br 3.17
Cr (0.0000, 0.8670, 0.0846)  1 Cr 2.00
Cr (0.0000, 0.6330, 0.4154)  1 Cr 2.00
Tc (0.5000, 0.2500, 0.2500)  8 Cr 2.56-2.60



No. 10
## BaIrCl (PBE)

Data for crystalline BaIrCl at its relaxed geometry.

Output
* ρ: 5.7 g cm⁻³
* ΔE to the lowest computed polymorph: 1074 meV/atom
* formation energy without anion corrections: -0.11 eV per atom
* D(E_F): 3.1 states/eV/cell

a b c (Å): 5.2350 5.2350 8.9479
angles (deg): 90.00 90.00 120.00
With the nearest neighbours (Å) after each atom.
Fractional positions:
Ir (0.0000, 0.0000, 0.0000)  2 Cl 2.24
Ir (0.0000, 0.0000, 0.5000)  2 Cl 2.24
Ba (0.3333, 0.6667, 0.2500)  3 Cl 3.02
Ba (0.6667, 0.3333, 0.7500)  3 Cl 3.02
Cl (0.0000, 0.0000, 0.2500)  2 Ir 2.24
Cl (0.0000, 0.0000, 0.7500)  2 Ir 2.24



No. 11
## Zr3TlH (PBE)

Data for crystalline Zr3TlH at its relaxed geometry.

Output
* final energy: -6.36 eV per atom
* ρ: 7.9 g cm⁻³
* D(E_F): 17.9 states/eV/cell

a b c (Å): 13.3486 8.2320 8.2320
angles (deg): 108.06 135.55 44.45
With the nearest neighbours (Å) after each atom.
Fractional positions:
H (0.7500, 0.1867, 0.6867)  4 Zr 2.06-2.07
H (0.2500, 0.8133, 0.3133)  4 Zr 2.06-2.07
H (0.7500, 0.5855, 0.0855)  4 Zr 2.12-2.22
H (0.2500, 0.4145, 0.9145)  4 Zr 2.12-2.22
Tl (0.3333, 0.1799, 0.5146)  9 Zr 3.05-3.33, 1 Tl 3.30
Tl (0.1667, 0.0146, 0.6799)  9 Zr 3.05-3.33, 1 Tl 3.30
Tl (0.6667, 0.8201, 0.4854)  9 Zr 3.05-3.33, 1 Tl 3.30
Tl (0.8333, 0.9854, 0.3201)  9 Zr 3.05-3.33, 1 Tl 3.30
Zr (0.6628, 0.5027, 0.1719)  1 H 2.22
Zr (0.8372, 0.6719, 0.0027)  1 H 2.22
Zr (0.3372, 0.4973, 0.8281)  1 H 2.22
Zr (0.1628, 0.3281, 0.9973)  1 H 2.22
Zr (0.6715, 0.1716, 0.8211)  1 H 2.07
Zr (0.8285, 0.3211, 0.6716)  1 H 2.07
Zr (0.3285, 0.8284, 0.1789)  1 H 2.07
Zr (0.1715, 0.6789, 0.3284)  1 H 2.07
Zr (0.9969, 0.1977, 0.1815)  2 H 2.06-2.12
Zr (0.5031, 0.6815, 0.6977)  2 H 2.06-2.12
Zr (0.0031, 0.8023, 0.8185)  2 H 2.06-2.12
Zr (0.4969, 0.3185, 0.3023)  2 H 2.06-2.12



No. 12
## K2NaMn (PBE)

Data for crystalline K2NaMn at its relaxed geometry.

Output
* DFT formation energy: 0.75 eV per atom
* ρ: 1.4 g cm⁻³
* ΔE to the lowest computed polymorph: 125 meV/atom
* D(E_F): 7.6 states/eV/cell

a b c (Å): 5.3211 5.3211 13.5650
angles (deg): 78.69 78.69 90.00
With the nearest neighbours (Å) after each atom.
Fractional positions:
Na (0.5000, 0.5000, 0.0000)  4 Mn 3.76, 4 K 3.78
Na (0.2500, 0.7500, 0.5000)  4 Mn 3.76, 4 K 3.78
K (0.6346, 0.1250, 0.2500)  4 K 3.69-3.84, 2 Mn 3.74, 2 Na 3.78
K (0.1154, 0.6250, 0.2500)  4 K 3.69-3.84, 2 Mn 3.74, 2 Na 3.78
K (0.3750, 0.3654, 0.7500)  4 K 3.69-3.84, 2 Mn 3.74, 2 Na 3.78
K (0.8750, 0.8846, 0.7500)  4 K 3.69-3.84, 2 Mn 3.74, 2 Na 3.78
Mn (0.0000, 0.0000, 0.0000)  4 K 3.74, 4 Na 3.76
Mn (0.7500, 0.2500, 0.5000)  4 K 3.74, 4 Na 3.76



What is the formula in the twelfth record? K2NaMn